1.
GGA-PBE Tb2Ho4Hg, optimized geometry; ΔH_f (0 K) = -0.0564 eV/atom; energy = -4.04 eV per atom; volume = 214.0 Å³/cell
1.0
8.324 -1.786 0.000
8.324 1.786 0.000
-3.679 0.000 7.196
Tb Ho Hg
2 4 1
Direct
0.211 0.211 0.125 Tb
0.789 0.789 0.875 Tb
0.146 0.146 0.472 Ho
0.442 0.442 0.262 Ho
0.558 0.558 0.738 Ho
0.854 0.854 0.528 Ho
0.000 0.000 0.000 Hg

2.
GGA-PBE Tb8Ho2Hg, optimized geometry; polymorph energy (0 for the lowest one) = 0.0409 eV per atom; ΔH_f (0 K) = 0.0085 eV/atom; energy = -4.22 eV per atom; volume = 350.3 Å³/cell
1.0
9.394 -2.733 0.000
9.394 2.733 0.000
-2.925 0.000 6.823
Tb Ho Hg
8 2 1
Direct
0.000 0.000 0.246 Tb
0.000 0.000 0.754 Tb
0.185 0.185 0.686 Tb
0.364 0.364 0.627 Tb
0.365 0.365 0.101 Tb
0.635 0.635 0.899 Tb
0.636 0.636 0.373 Tb
0.815 0.815 0.314 Tb
0.192 0.192 0.192 Ho
0.808 0.808 0.808 Ho
0.500 0.500 0.500 Hg

3.
GGA-PBE Tb2Ho8Hg, optimized geometry; polymorph energy (0 for the lowest one) = 0.0557 eV per atom; ΔH_f (0 K) = 0.0073 eV/atom; energy = -4.19 eV per atom; volume = 344.2 Å³/cell
1.0
9.346 -2.712 0.000
9.346 2.712 0.000
-2.914 0.000 6.790
Tb Ho Hg
2 8 1
Direct
0.192 0.192 0.192 Tb
0.808 0.808 0.808 Tb
0.000 0.000 0.246 Ho
0.000 0.000 0.754 Ho
0.185 0.185 0.685 Ho
0.364 0.364 0.627 Ho
0.365 0.365 0.102 Ho
0.635 0.635 0.898 Ho
0.636 0.636 0.373 Ho
0.815 0.815 0.315 Ho
0.500 0.500 0.500 Hg

4.
GGA-PBE TbHoHg, optimized geometry; polymorph energy (0 for the lowest one) = 0.1780 eV per atom; ΔH_f (0 K) = -0.1831 eV/atom; energy = -3.35 eV per atom; volume = 84.5 Å³/cell
1.0
5.131 0.000 0.000
-2.565 4.443 0.000
0.000 0.000 3.707
Tb Ho Hg
1 1 1
Direct
0.000 0.000 0.000 Tb
0.333 0.667 0.465 Ho
0.667 0.333 0.691 Hg

5.
GGA-PBE TbHo6Hg, optimized geometry; ΔH_f (0 K) = -0.0040 eV/atom; energy = -4.05 eV per atom; volume = 242.7 Å³/cell
1.0
4.607 2.660 3.302
-4.607 2.660 3.302
0.000 -5.320 3.302
Tb Ho Hg
1 6 1
Direct
0.000 0.000 0.000 Tb
0.059 0.541 0.260 Ho
0.260 0.059 0.541 Ho
0.459 0.740 0.941 Ho
0.541 0.260 0.059 Ho
0.740 0.941 0.459 Ho
0.941 0.459 0.740 Ho
0.500 0.500 0.500 Hg

6.
GGA-PBE Tb3Ho2Hg4, optimized geometry; ΔH_f (0 K) = -0.3080 eV/atom; energy = -3.00 eV per atom; volume = 502.8 Å³/cell
1.0
3.464 -9.113 0.000
3.464 9.113 0.000
0.000 0.000 7.964
Tb Ho Hg
6 4 8
Direct
0.000 0.000 0.000 Tb
0.011 0.489 0.250 Tb
0.489 0.011 0.750 Tb
0.500 0.500 0.500 Tb
0.511 0.989 0.250 Tb
0.989 0.511 0.750 Tb
0.094 0.906 0.413 Ho
0.406 0.594 0.913 Ho
0.594 0.406 0.087 Ho
0.906 0.094 0.587 Ho
0.164 0.836 0.036 Hg
0.181 0.319 0.250 Hg
0.319 0.181 0.750 Hg
0.336 0.664 0.536 Hg
0.664 0.336 0.464 Hg
0.681 0.819 0.250 Hg
0.819 0.681 0.750 Hg
0.836 0.164 0.964 Hg

7.
GGA-PBE Tb4Ho2Hg, optimized geometry; ΔH_f (0 K) = -0.0052 eV/atom; energy = -4.00 eV per atom; volume = 214.8 Å³/cell
1.0
8.177 -1.759 0.000
8.177 1.759 0.000
-3.894 0.000 7.465
Tb Ho Hg
4 2 1
Direct
0.082 0.082 0.203 Tb
0.370 0.370 0.110 Tb
0.630 0.630 0.890 Tb
0.918 0.918 0.797 Tb
0.216 0.216 0.639 Ho
0.784 0.784 0.361 Ho
0.000 0.000 0.500 Hg

8.
GGA-PBE TbHoHg3, optimized geometry; ΔH_f (0 K) = 0.0603 eV/atom; energy = -1.96 eV per atom; volume = 350.3 Å³/cell
1.0
-2.849 2.849 10.789
2.849 -2.849 10.789
2.849 2.849 -10.789
Tb Ho Hg
2 2 6
Direct
0.000 0.000 0.000 Tb
0.750 0.250 0.500 Tb
0.414 0.414 0.000 Ho
0.586 0.586 0.000 Ho
0.038 0.538 0.500 Hg
0.374 0.128 0.246 Hg
0.462 0.962 0.500 Hg
0.872 0.117 0.246 Hg
0.872 0.626 0.754 Hg
0.883 0.128 0.754 Hg